[1]
{
  "formula": "RbLaSeO6",
  "functional": "GGA-PBE",
  "state": "optimized geometry",
  "crystal_system": "trigonal",
  "e_form_raw_ev_per_atom": -1.317,
  "lattice": [[5.8287, 0.0000, 0.0000], [-2.9143, 5.0478, 0.0000], [0.0000, 0.0000, 6.0190]],
  "species": ["Rb", "La", "Se", "O", "O", "O", "O", "O", "O"],
  "fractional_positions": [[0.0000, 0.0000, 0.0000], [0.3333, 0.6667, 0.5000], [0.6667, 0.3333, 0.5000], [0.4137, 0.0776, 0.6715], [0.4137, 0.3361, 0.3285], [0.6639, 0.0776, 0.3285], [0.6639, 0.5863, 0.6715], [0.9224, 0.3361, 0.6715], [0.9224, 0.5863, 0.3285]]
}



[2]
{
  "formula": "Zn2SbIr",
  "functional": "GGA-PBE",
  "state": "optimized geometry",
  "e_above_lowest_polymorph_kj_per_mol_fu": 43,
  "crystal_system": "tetragonal",
  "e_form_raw_ev_per_atom": 0.087,
  "lattice": [[-2.0740, 2.0740, 3.9051], [2.0740, -2.0740, 3.9051], [2.0740, 2.0740, -3.9051]],
  "species": ["Zn", "Zn", "Sb", "Ir"],
  "fractional_positions": [[0.0000, 0.0000, 0.0000], [0.7500, 0.2500, 0.5000], [0.2500, 0.7500, 0.5000], [0.5000, 0.5000, 0.0000]]
}



[3]
{
  "formula": "KFe3S",
  "functional": "GGA-PBE",
  "state": "optimized geometry",
  "e_above_lowest_polymorph_kj_per_mol_fu": 936,
  "crystal_system": "cubic",
  "e_form_raw_ev_per_atom": 2.486,
  "lattice": [[4.5586, 0.0000, 0.0000], [0.0000, 4.5586, 0.0000], [0.0000, 0.0000, 4.5586]],
  "species": ["K", "Fe", "Fe", "Fe", "S"],
  "fractional_positions": [[0.0000, 0.0000, 0.0000], [0.0000, 0.0000, 0.5000], [0.0000, 0.5000, 0.0000], [0.5000, 0.0000, 0.0000], [0.5000, 0.5000, 0.5000]]
}



[4]
{
  "formula": "CoSn3Pd",
  "functional": "GGA-PBE",
  "state": "optimized geometry",
  "e_above_lowest_polymorph_kj_per_mol_fu": 0,
  "crystal_system": "orthorhombic",
  "formation_enthalpy_0k_ev_per_atom": -0.0808,
  "lattice": [[4.5272, -6.6961, 0.0000], [4.5272, 6.6961, 0.0000], [0.0000, 0.0000, 3.4113]],
  "species": ["Co", "Co", "Sn", "Sn", "Sn", "Sn", "Sn", "Sn", "Pd", "Pd"],
  "fractional_positions": [[0.0000, 0.5000, 0.0000], [0.5000, 0.0000, 0.0000], [0.1634, 0.8366, 0.0000], [0.1859, 0.4087, 0.5000], [0.4087, 0.1859, 0.5000], [0.5913, 0.8141, 0.5000], [0.8141, 0.5913, 0.5000], [0.8366, 0.1634, 0.0000], [0.0000, 0.0000, 0.5000], [0.5000, 0.5000, 0.0000]]
}



[5]
{
  "formula": "Sm3Mg2Ag3",
  "functional": "GGA-PBE",
  "state": "optimized geometry",
  "e_above_lowest_polymorph_kj_per_mol_fu": 47,
  "crystal_system": "orthorhombic",
  "formation_enthalpy_0k_ev_per_atom": -0.1989,
  "lattice": [[-1.7884, 2.6635, 10.4941], [1.7884, -2.6635, 10.4941], [1.7884, 2.6635, -10.4941]],
  "species": ["Sm", "Sm", "Sm", "Mg", "Mg", "Ag", "Ag", "Ag"],
  "fractional_positions": [[0.0000, 0.0000, 0.0000], [0.3746, 0.8746, 0.5000], [0.6254, 0.1254, 0.5000], [0.2342, 0.2342, 0.0000], [0.7658, 0.7658, 0.0000], [0.1273, 0.6273, 0.5000], [0.5000, 0.5000, 0.0000], [0.8727, 0.3727, 0.5000]]
}



[6]
{
  "formula": "MgScAl2",
  "functional": "GGA-PBE",
  "state": "optimized geometry",
  "crystal_system": "orthorhombic",
  "formation_enthalpy_0k_ev_per_atom": -0.2578,
  "lattice": [[3.0433, -4.1598, 0.0000], [3.0433, 4.1598, 0.0000], [0.0000, 0.0000, 3.0437]],
  "species": ["Mg", "Sc", "Al", "Al"],
  "fractional_positions": [[0.0000, 0.0000, 0.0000], [0.5000, 0.5000, 0.0000], [0.0000, 0.5000, 0.5000], [0.5000, 0.0000, 0.5000]]
}



no.,M_tot (μB/cell)
1,2.00
2,0.00
3,8.14
4,0.00
5,0.00
6,0.00